Pr2BePPt6: optimized geometry, PBE-GGA.

Summary:
Space-group type = No. 59
Final energy = -6.4003 eV/atom

a b c (Å): 5.6348 7.8166 8.6087
angles (deg): 90.00 90.00 90.00
Last column: nearest neighbours and their distance in Å.
Atoms (fractional coordinates):
1 P 0.5000 0.2587 0.5000  6 Pt 2.36-2.55
2 P 0.0000 0.7413 0.0000  6 Pt 2.36-2.55
3 Pt 0.2471 0.9884 0.5000  1 Be 2.36, 1 P 2.55
4 Pt 0.5000 0.1295 0.7482  1 P 2.36, 1 Be 2.38
5 Pt 0.2402 0.4953 0.5000  1 P 2.36, 1 Be 2.38
6 Pt 0.0000 0.8705 0.7518  1 P 2.36, 1 Be 2.38
7 Pt 0.2529 0.0116 0.0000  1 Be 2.36, 1 P 2.55
8 Pt 0.7598 0.4953 0.5000  1 P 2.36, 1 Be 2.38
9 Pt 0.5000 0.1295 0.2518  1 P 2.36, 1 Be 2.38
10 Pt 0.7402 0.5047 0.0000  1 P 2.36, 1 Be 2.38
11 Pt 0.7529 0.9884 0.5000  1 Be 2.36, 1 P 2.55
12 Pt 0.0000 0.8705 0.2482  1 P 2.36, 1 Be 2.38
13 Pt 0.7471 0.0116 0.0000  1 Be 2.36, 1 P 2.55
14 Pt 0.2598 0.5047 0.0000  1 P 2.36, 1 Be 2.38
15 Pr 0.0000 0.2725 0.2421  9 Pt 3.03-3.25
16 Pr 0.5000 0.7275 0.2579  9 Pt 3.03-3.25
17 Pr 0.0000 0.2725 0.7579  9 Pt 3.03-3.25
18 Pr 0.5000 0.7275 0.7421  9 Pt 3.03-3.25
19 Be 0.5000 0.2549 0.0000  6 Pt 2.36-2.38
20 Be 0.0000 0.7451 0.5000  6 Pt 2.36-2.38



PrBePRh: optimized geometry, PBE-GGA.

Summary:
Space-group type = No. 129
Final energy = -6.1235 eV/atom

a b c (Å): 4.0739 4.0739 8.8002
angles (deg): 90.00 90.00 90.00
Last column: nearest neighbours and their distance in Å.
Atoms (fractional coordinates):
1 Rh 0.0000 0.0000 0.5000  4 Be 2.32
2 Rh 0.5000 0.5000 0.5000  4 Be 2.32
3 Be 0.5000 0.0000 0.6253  1 P 2.11, 4 Rh 2.32
4 Be 0.0000 0.5000 0.3747  1 P 2.11, 4 Rh 2.32
5 P 0.0000 0.5000 0.1353  1 Be 2.11
6 P 0.5000 0.0000 0.8647  1 Be 2.11
7 Pr 0.5000 0.0000 0.2003  5 P 2.94-2.95, 4 Be 3.26
8 Pr 0.0000 0.5000 0.7997  5 P 2.94-2.95, 4 Be 3.26



Be2PPt: optimized geometry, PBE-GGA.

Summary:
Space-group type = No. 10
Final energy = -4.8666 eV/atom

a b c (Å): 3.4237 4.0367 4.6800
angles (deg): 47.04 90.00 90.00
Last column: nearest neighbours and their distance in Å.
Atoms (fractional coordinates):
1 Be 0.5000 0.5000 0.0000  2 P 2.34, 4 Pt 2.46
2 Be 0.0000 0.0000 0.0000  2 Pt 2.34, 4 P 2.46
3 P 0.5000 0.5000 0.5000  6 Be 2.34-2.46
4 Pt 0.0000 0.0000 0.5000  6 Be 2.34-2.46



Be2PPt: optimized geometry, PBE-GGA.

Summary:
Space-group type = No. 119
Final energy = -4.7918 eV/atom

a b c (Å): 4.5871 4.5871 4.5871
angles (deg): 135.26 135.28 65.11
Last column: nearest neighbours and their distance in Å.
Atoms (fractional coordinates):
1 Be 0.0001 0.0001 0.0000  4 P 2.47, 4 Be 2.60-2.61, 4 Pt 2.60
2 Be 0.7500 0.2500 0.5000  4 Pt 2.47, 4 P 2.60-2.61, 4 Be 2.60-2.61
3 P 0.4999 0.4999 0.0000  8 Be 2.47-2.61, 4 Pt 2.60-2.61
4 Pt 0.2501 0.7501 0.5000  8 Be 2.47-2.60, 4 P 2.60-2.61



Be2PPt2: optimized geometry, PBE-GGA.

Summary:
Space-group type = No. 127
Final energy = -5.3780 eV/atom

a b c (Å): 6.8300 6.8300 2.7190
angles (deg): 90.00 90.00 90.00
Last column: nearest neighbours and their distance in Å.
Atoms (fractional coordinates):
1 Be 0.6242 0.8758 0.5000  1 Be 2.40, 6 Pt 2.42-2.44
2 Be 0.3758 0.1242 0.5000  1 Be 2.40, 6 Pt 2.42-2.44
3 Be 0.8758 0.3758 0.5000  1 Be 2.40, 6 Pt 2.42-2.44
4 Be 0.1242 0.6242 0.5000  1 Be 2.40, 6 Pt 2.42-2.44
5 Pt 0.6684 0.1684 0.0000  6 Be 2.42-2.44, 2 P 2.54
6 Pt 0.1684 0.3316 0.0000  6 Be 2.42-2.44, 2 P 2.54
7 Pt 0.8316 0.6684 0.0000  6 Be 2.42-2.44, 2 P 2.54
8 Pt 0.3316 0.8316 0.0000  6 Be 2.42-2.44, 2 P 2.54
9 P 0.5000 0.5000 0.0000  4 Pt 2.54, 2 P 2.72
10 P 0.0000 0.0000 0.0000  4 Pt 2.54, 2 P 2.72



BePPt4: optimized geometry, PBE-GGA.

Summary:
Space-group type = No. 216
Final energy = -5.0580 eV/atom

a b c (Å): 5.2279 5.2279 5.2279
angles (deg): 60.00 60.00 60.00
Last column: nearest neighbours and their distance in Å.
Atoms (fractional coordinates):
1 Pt 0.8751 0.3750 0.3750  6 Pt 2.61
2 Pt 0.3750 0.3750 0.8751  6 Pt 2.61
3 Pt 0.3750 0.8751 0.3750  6 Pt 2.61
4 Pt 0.3750 0.3750 0.3750  6 Pt 2.61
5 Be 0.7500 0.7500 0.7500  12 Pt 3.07, 4 P 3.20
6 P 0.0000 0.0000 0.0000  12 Pt 3.07, 4 Be 3.20



Be3PPt: optimized geometry, PBE-GGA.

Summary:
Space-group type = No. 221
Final energy = -4.0460 eV/atom

a b c (Å): 4.2543 4.2543 4.2543
angles (deg): 90.00 90.00 90.00
Last column: nearest neighbours and their distance in Å.
Atoms (fractional coordinates):
1 P 0.5000 0.5000 0.5000  12 Be 3.01
2 Pt 0.0000 0.0000 0.0000  6 Be 2.13
3 Be 0.0000 0.0000 0.5000  2 Pt 2.13
4 Be 0.0000 0.5000 0.0000  2 Pt 2.13
5 Be 0.5000 0.0000 0.0000  2 Pt 2.13



Be2PPt: optimized geometry, PBE-GGA.

Summary:
Space-group type = No. 12
Final energy = -4.8736 eV/atom

a b c (Å): 4.3280 4.3280 3.6308
angles (deg): 65.86 65.86 49.57
Last column: nearest neighbours and their distance in Å.
Atoms (fractional coordinates):
1 Pt 0.2500 0.2500 0.2500  8 Be 2.51-2.53, 4 P 2.57
2 Be 0.5000 0.5000 0.5025  4 P 2.50-2.55, 4 Pt 2.51-2.53, 4 Be 2.55-2.58
3 Be 0.0000 0.0000 0.9975  4 P 2.50-2.55, 4 Pt 2.51-2.53, 4 Be 2.55-2.58
4 P 0.7500 0.7500 0.7500  8 Be 2.50-2.55, 4 Pt 2.57